VASP calculation (GGA-PBE) on crystalline Ac2PuSbN2 at its relaxed geometry.

CIF file:
```
data_Ac2PuSbN2
_chemical_formula_sum 'Ac2 Pu1 Sb1 N2'
_symmetry_space_group_name_H-M 'P 4/m m m'
_symmetry_Int_Tables_number 123
_symmetry_space_group_name_Hall '-P 4 2'
_cell_length_a 4.474
_cell_length_b 4.474
_cell_length_c 7.175
_cell_angle_alpha 90.00
_cell_angle_beta 90.00
_cell_angle_gamma 90.00
loop_
_atom_site_label
_atom_site_fract_x
_atom_site_fract_y
_atom_site_fract_z
_atom_site_occupancy
Ac1 0.000 0.000 0.241 1
Pu1 0.500 0.500 0.000 1
Sb1 0.500 0.500 0.500 1
N1 0.000 0.500 0.000 1
```

Results
The calculation puts the total energy at -49.9 eV/cell. The value obtained for the uncorrected formation energy is -1.10 eV per atom.